Record 1
VASP calculation (PBE) on a geometry-optimized LiCa8 structure.

a = 5.3328 Å, b = 8.6357 Å, c = 8.6357 Å
α = 84.53°, β = 72.02°, γ = 72.02°
Sites, in units of the cell vectors:
Ca (0.3377, 0.3247, 0.0000)
Ca (0.6689, 0.3311, 0.3311)
Ca (0.3377, 0.0000, 0.3247)
Ca (0.6623, 0.6753, 0.0000)
Ca (0.0000, 0.6689, 0.3311)
Li (0.0000, 0.0000, 0.0000)
Ca (0.0000, 0.3311, 0.6689)
Ca (0.6623, 0.0000, 0.6753)
Ca (0.3311, 0.6689, 0.6689)

Uncorrected energy: -17.640 eV per cell
Energy relative to the elements: 0.7 kcal/mol of atoms
Magnetization: 0.00 μB per cell
Fermi-level density of states: 11.56 states/eV per cell

=====

Record 2
VASP calculation (PBE) on a geometry-optimized Li4Ca structure.

a = 5.7178 Å, b = 5.7178 Å, c = 5.7178 Å
α = 90.00°, β = 90.00°, γ = 90.00°
Sites, in units of the cell vectors:
Li (0.0000, 0.0000, 0.0000)
Ca (0.5000, 0.5000, 0.5000)
Li (0.0000, 0.5000, 0.5000)
Li (0.5000, 0.5000, 0.0000)
Li (0.5000, 0.0000, 0.5000)

Uncorrected energy: -6.345 eV per cell
Energy relative to the elements: 15.3 kcal/mol of atoms
Magnetization: 0.00 μB per cell
Fermi-level density of states: 3.27 states/eV per cell
Energy above the most stable polymorph in this dataset: 600.0 meV/atom

=====

Record 3
VASP calculation (PBE) on a geometry-optimized Li24Ca5 structure.

a = 9.7040 Å, b = 9.7040 Å, c = 9.7040 Å
α = 109.47°, β = 109.47°, γ = 109.47°
Sites, in units of the cell vectors:
Li (0.7305, 0.3366, 0.3366)
Li (0.8145, 0.6231, 0.6231)
Li (0.6634, 0.3940, 0.0000)
Ca (0.0000, 0.0000, 0.0000)
Ca (0.6200, 0.0000, 0.0000)
Li (0.8086, 0.1855, 0.8086)
Li (0.2695, 0.6060, 0.6060)
Li (0.0000, 0.3940, 0.6634)
Li (0.3940, 0.6634, 0.0000)
Li (0.1855, 0.8086, 0.8086)
Li (0.8086, 0.8086, 0.1855)
Li (0.6231, 0.6231, 0.8145)
Li (0.1914, 0.0000, 0.3769)
Li (0.0000, 0.6634, 0.3940)
Li (0.3366, 0.7305, 0.3366)
Li (0.0000, 0.1914, 0.3769)
Li (0.6231, 0.8145, 0.6231)
Li (0.3769, 0.0000, 0.1914)
Ca (0.0000, 0.0000, 0.6200)
Li (0.3366, 0.3366, 0.7305)
Li (0.3769, 0.1914, 0.0000)
Li (0.0000, 0.3769, 0.1914)
Li (0.1914, 0.3769, 0.0000)
Li (0.6634, 0.0000, 0.3940)
Ca (0.0000, 0.6200, 0.0000)
Li (0.3940, 0.0000, 0.6634)
Li (0.6060, 0.6060, 0.2695)
Ca (0.3800, 0.3800, 0.3800)
Li (0.6060, 0.2695, 0.6060)

Uncorrected energy: -55.188 eV per cell
Energy relative to the elements: 0.6 kcal/mol of atoms
Magnetization: 0.00 μB per cell
Fermi-level density of states: 19.86 states/eV per cell

=====

Record 4
VASP calculation (PBE) on a geometry-optimized Li3Ca structure.

a = 6.7567 Å, b = 6.7567 Å, c = 16.0188 Å
α = 90.00°, β = 90.00°, γ = 120.00°
Sites, in units of the cell vectors:
Ca (0.0000, 0.0000, 0.5000)
Ca (0.6667, 0.3333, 0.8519)
Ca (0.0000, 0.0000, 0.0000)
Li (0.8265, 0.1735, 0.6734)
Li (0.5257, 0.4743, 0.5000)
Li (0.1735, 0.8265, 0.1734)
Li (0.4743, 0.9486, 0.0000)
Ca (0.3333, 0.6667, 0.6481)
Li (0.8265, 0.6530, 0.3266)
Li (0.4743, 0.5257, 0.0000)
Li (0.1735, 0.8265, 0.8266)
Li (0.6530, 0.8265, 0.8266)
Ca (0.3333, 0.6667, 0.3519)
Li (0.0514, 0.5257, 0.0000)
Li (0.3470, 0.1735, 0.3266)
Li (0.3470, 0.1735, 0.6734)
Li (0.1735, 0.3470, 0.8266)
Ca (0.6667, 0.3333, 0.1481)
Li (0.8265, 0.1735, 0.3266)
Li (0.9486, 0.4743, 0.5000)
Li (0.8265, 0.6530, 0.6734)
Li (0.5257, 0.0514, 0.5000)
Li (0.6530, 0.8265, 0.1734)
Li (0.1735, 0.3470, 0.1734)

Uncorrected energy: -45.254 eV per cell
Energy relative to the elements: 1.2 kcal/mol of atoms
Magnetization: 0.00 μB per cell
Fermi-level density of states: 17.32 states/eV per cell
Energy above the most stable polymorph in this dataset: 23.5 meV/atom

=====

Record 5
VASP calculation (PBE) on a geometry-optimized Li5Ca structure.

a = 3.9958 Å, b = 5.0473 Å, c = 7.5624 Å
α = 90.00°, β = 105.32°, γ = 90.00°
Sites, in units of the cell vectors:
Li (0.1434, 0.5000, 0.2869)
Ca (0.9715, 0.0000, 0.9430)
Li (0.4736, 0.5000, 0.9471)
Li (0.6518, 0.0000, 0.3037)
Li (0.8016, 0.5000, 0.6032)
Li (0.2914, 0.0000, 0.5828)

Uncorrected energy: -11.265 eV per cell
Energy relative to the elements: 1.2 kcal/mol of atoms
Magnetization: 0.00 μB per cell
Fermi-level density of states: 3.95 states/eV per cell
Energy above the most stable polymorph in this dataset: 26.4 meV/atom

=====

Record 6
VASP calculation (PBE) on a geometry-optimized Li3Ca structure.

a = 6.4679 Å, b = 6.3467 Å, c = 10.2772 Å
α = 90.00°, β = 90.00°, γ = 90.00°
Sites, in units of the cell vectors:
Ca (0.4311, 0.0231, 0.2500)
Li (0.6676, 0.3154, 0.0137)
Li (0.8324, 0.8154, 0.0137)
Ca (0.9311, 0.4769, 0.7500)
Li (0.3324, 0.6846, 0.5137)
Li (0.3324, 0.6846, 0.9863)
Li (0.8324, 0.8154, 0.4863)
Li (0.1676, 0.1846, 0.9863)
Li (0.0814, 0.9577, 0.7500)
Li (0.9186, 0.0423, 0.2500)
Li (0.5814, 0.5423, 0.2500)
Li (0.1676, 0.1846, 0.5137)
Li (0.6676, 0.3154, 0.4863)
Ca (0.0689, 0.5231, 0.2500)
Li (0.4186, 0.4577, 0.7500)
Ca (0.5689, 0.9769, 0.7500)

Uncorrected energy: -30.131 eV per cell
Energy relative to the elements: 1.2 kcal/mol of atoms
Magnetization: 0.00 μB per cell
Fermi-level density of states: 9.52 states/eV per cell
Energy above the most stable polymorph in this dataset: 25.9 meV/atom

=====

Record 7
VASP calculation (PBE) on a geometry-optimized Li6Ca structure.

a = 6.0232 Å, b = 6.0232 Å, c = 6.0232 Å
α = 90.00°, β = 90.00°, γ = 90.00°
Sites, in units of the cell vectors:
Li (0.8081, 0.5000, 0.5000)
Li (0.5000, 0.5000, 0.8081)
Li (0.5000, 0.1919, 0.5000)
Li (0.5000, 0.8081, 0.5000)
Ca (0.0000, 0.0000, 0.0000)
Li (0.1919, 0.5000, 0.5000)
Li (0.5000, 0.5000, 0.1919)

Uncorrected energy: -10.027 eV per cell
Energy relative to the elements: 11.4 kcal/mol of atoms
Magnetization: 0.00 μB per cell
Fermi-level density of states: 3.22 states/eV per cell
Energy above the most stable polymorph in this dataset: 469.3 meV/atom

=====

Record 8
VASP calculation (PBE) on a geometry-optimized Li4Ca5 structure.

a = 9.9512 Å, b = 9.9512 Å, c = 6.9604 Å
α = 90.00°, β = 90.00°, γ = 120.00°
Sites, in units of the cell vectors:
Ca (0.0000, 0.7131, 0.2500)
Li (0.6262, 0.6262, 0.2500)
Li (0.3738, 0.0000, 0.2500)
Ca (0.7131, 0.0000, 0.2500)
Li (0.0000, 0.3738, 0.2500)
Ca (0.3333, 0.6667, 0.5000)
Ca (0.6667, 0.3333, 0.5000)
Ca (0.2869, 0.0000, 0.7500)
Ca (0.2869, 0.2869, 0.2500)
Ca (0.3333, 0.6667, 0.0000)
Ca (0.0000, 0.2869, 0.7500)
Ca (0.6667, 0.3333, 0.0000)
Li (0.0000, 0.0000, 0.5000)
Ca (0.7131, 0.7131, 0.7500)
Li (0.6262, 0.0000, 0.7500)
Li (0.0000, 0.0000, 0.0000)
Li (0.3738, 0.3738, 0.7500)
Li (0.0000, 0.6262, 0.7500)

Uncorrected energy: -34.418 eV per cell
Energy relative to the elements: 1.2 kcal/mol of atoms
Magnetization: 0.00 μB per cell
Fermi-level density of states: 15.42 states/eV per cell
Energy above the most stable polymorph in this dataset: 19.3 meV/atom

=====

Record 9
VASP calculation (PBE) on a geometry-optimized LiCa2 structure.

a = 3.8231 Å, b = 3.8231 Å, c = 8.6382 Å
α = 90.00°, β = 90.00°, γ = 120.00°
Sites, in units of the cell vectors:
Li (0.0000, 0.0000, 0.0000)
Ca (0.6667, 0.3333, 0.6849)
Ca (0.3333, 0.6667, 0.3151)

Uncorrected energy: -5.667 eV per cell
Energy relative to the elements: 1.9 kcal/mol of atoms
Magnetization: 0.00 μB per cell
Fermi-level density of states: 2.78 states/eV per cell
Energy above the most stable polymorph in this dataset: 72.7 meV/atom

=====

Record 10
VASP calculation (PBE) on a geometry-optimized Li3Ca structure.

a = 3.5566 Å, b = 5.2841 Å, c = 5.7025 Å
α = 90.00°, β = 90.00°, γ = 90.00°
Sites, in units of the cell vectors:
Li (0.5000, 0.0000, 0.4943)
Li (0.0000, 0.5000, 0.3717)
Ca (0.0000, 0.0000, 0.9937)
Li (0.5000, 0.5000, 0.8070)

Uncorrected energy: -7.425 eV per cell
Energy relative to the elements: 1.8 kcal/mol of atoms
Magnetization: 0.00 μB per cell
Fermi-level density of states: 2.34 states/eV per cell
Energy above the most stable polymorph in this dataset: 52.7 meV/atom

=====

Record 11
VASP calculation (PBE) on a geometry-optimized Li2Ca3 structure.

a = 5.2141 Å, b = 6.4401 Å, c = 6.4401 Å
α = 63.54°, β = 66.12°, γ = 66.12°
Sites, in units of the cell vectors:
Ca (0.2051, 0.2949, 0.2949)
Ca (0.0000, 0.0000, 0.0000)
Li (0.5000, 0.2970, 0.7030)
Li (0.5000, 0.7030, 0.2970)
Ca (0.7949, 0.7051, 0.7051)

Uncorrected energy: -9.652 eV per cell
Energy relative to the elements: 0.8 kcal/mol of atoms
Magnetization: 0.00 μB per cell
Fermi-level density of states: 3.90 states/eV per cell
Energy above the most stable polymorph in this dataset: 22.3 meV/atom